(1)
ErPaAl6 | PBE | relaxed

The calculation puts the total magnetic moment at 0.00 Bohr magnetons per cell. As for the crystal system: hexagonal. For the total energy, the calculation gives -4.8997 eV/atom.

The structure belongs to space group P-6m2 (No. 187); the cell edges are 6.2609, 6.2609 and 4.6072 Å and the angles 90.00°, 90.00° and 120.00°. The inequivalent atoms are Er at (0.0000, 0.0000, 0.0000), Pa at (0.3333, 0.6667, 0.5000), Al at (0.3697, 0.1849, 0.5000) and Al at (0.5195, 0.0390, 0.0000).

---

(2)
ErPaAlRe | PBE | relaxed

The calculation puts the total magnetic moment at 0.00 Bohr magnetons per cell. As for the crystal system: cubic. For the total energy, the calculation gives -7.6202 eV/atom.

The structure belongs to space group F-43m (No. 216); the cell edges are 6.816, 6.816 and 6.816 Å and the angles 90.00°, 90.00° and 90.00°. The inequivalent atoms are Er at (0.000, 0.000, 0.000), Pa at (0.250, 0.250, 0.250), Al at (0.250, 0.250, 0.750) and Re at (0.000, 0.000, 0.500).

---

(3)
Er2PaAl2Ru5 | PBE | relaxed

The calculation puts the total magnetic moment at 0.00 Bohr magnetons per cell. As for the crystal system: tetragonal. For the total energy, the calculation gives -7.8371 eV/atom.

The structure belongs to space group P4/mbm (No. 127); the cell edges are 10.112, 10.112 and 3.420 Å and the angles 90.00°, 90.00° and 90.00°. The inequivalent atoms are Er at (0.170, 0.330, 0.000), Pa at (0.000, 0.000, 0.000), Al at (0.126, 0.626, 0.000), Ru at (0.000, 0.500, 0.500) and Ru at (0.071, 0.798, 0.500).

---

| no. | formation enthalpy at 0 K (eV/atom) | mass density (kg/m3) |
| --- | --- | --- |
| 1 | -0.34 | 5945 |
| 2 | -0.06 | 12825 |
| 3 | -0.59 | 10683 |